[1]
Compound: Pm2Zn4CuPt3
Source: the Alexandria database
Functional: GGA-PBE
Structure: optimized geometry

Cell: 4.0044 4.0044 11.6999 Å, 90.00 90.00 90.00°
Fractional positions:
Zn 0.5000 0.0000 0.6325
Pt 0.0000 0.5000 0.1472
Pt 0.5000 0.0000 0.8528
Pt 0.0000 0.0000 0.5000
Zn 0.0000 0.0000 0.0000
Pm 0.0000 0.5000 0.7544
Cu 0.5000 0.5000 0.5000
Zn 0.0000 0.5000 0.3675
Zn 0.5000 0.5000 0.0000
Pm 0.5000 0.0000 0.2456

formation energy from the elements: -6.61 eV/f.u.
Fermi-level density of states: 5.3 states/eV per cell



[2]
Compound: Ac4In
Source: the Alexandria database
Functional: GGA-PBE
Structure: optimized geometry

Cell: 4.0400 4.0400 12.9354 Å, 98.98 98.98 90.00°
Fractional positions:
Ac 0.1947 0.1947 0.3895
Ac 0.5829 0.5829 0.1657
Ac 0.8053 0.8053 0.6105
In 0.0000 0.0000 0.0000
Ac 0.4171 0.4171 0.8343

formation energy from the elements: -0.76 eV/f.u.
polymorph energy (0 for the lowest one): 3.4 meV/atom
Fermi-level density of states: 7.8 states/eV per cell



[3]
Compound: PtN
Source: the Alexandria database
Functional: GGA-PBE
Structure: optimized geometry

Cell: 2.8525 2.8525 7.6947 Å, 90.00 90.00 120.00°
Fractional positions:
N 0.0000 0.0000 0.9261
Pt 0.0000 0.0000 0.6632
Pt 0.0000 0.0000 0.3368
N 0.0000 0.0000 0.0739

Fermi-level density of states: 1.4 states/eV per cell
E_form (uncorrected): 0.244 eV per atom



[4]
Compound: MgReRh
Source: the Alexandria database
Functional: GGA-PBE
Structure: optimized geometry

Cell: 7.2219 3.6354 7.7857 Å, 90.00 90.00 90.00°
Fractional positions:
Mg 0.9572 0.2500 0.8443
Re 0.3966 0.2500 0.0467
Re 0.1034 0.7500 0.5467
Rh 0.2519 0.2500 0.3413
Mg 0.4572 0.2500 0.6557
Rh 0.7481 0.7500 0.6587
Rh 0.2481 0.7500 0.8413
Re 0.6034 0.7500 0.9533
Re 0.8966 0.2500 0.4533
Rh 0.7519 0.2500 0.1587
Mg 0.5428 0.7500 0.3443
Mg 0.0428 0.7500 0.1557

formation energy from the elements: -0.08 eV/f.u.
polymorph energy (0 for the lowest one): 118.2 meV/atom
Fermi-level density of states: 5.4 states/eV per cell



[5]
Compound: K4YMn
Source: the Alexandria database
Functional: GGA-PBE
Structure: optimized geometry

Cell: 7.3879 7.3879 7.3879 Å, 60.00 60.00 60.00°
Each line ends with the local moment (μB).
Fractional positions:
K 0.3757 0.3757 0.8728  -0.01
Mn 0.7500 0.7500 0.7500  4.37
K 0.3757 0.8728 0.3757  -0.01
Y 0.0000 0.0000 0.0000  -0.40
K 0.8728 0.3757 0.3757  -0.01
K 0.3757 0.3757 0.3757  -0.01

formation energy from the elements: 5.38 eV/f.u.
Fermi-level density of states: 9.0 states/eV per cell



[6]
Compound: InPtSe
Source: the Alexandria database
Functional: GGA-PBE
Structure: optimized geometry

Cell: 4.5332 4.5332 4.5332 Å, 60.00 60.00 60.00°
Fractional positions:
Pt 0.7500 0.7500 0.7500
Se 0.0000 0.0000 0.0000
In 0.5000 0.5000 0.5000

Fermi-level density of states: 1.8 states/eV per cell
E_form (uncorrected): -0.268 eV per atom



[7]
Compound: ZnCdAg3
Source: the Alexandria database
Functional: GGA-PBE
Structure: optimized geometry

Cell: 5.0717 5.1223 7.6359 Å, 81.48 73.70 70.56°
Fractional positions:
Ag 0.6647 0.8345 0.4126
Cd 0.8296 0.8741 0.9993
Ag 0.2490 0.8543 0.2037
Zn 0.0839 0.8289 0.5842
Ag 0.9802 0.3672 0.8066
Ag 0.4309 0.8215 0.8080
Zn 0.3275 0.3599 0.0303
Ag 0.7464 0.3543 0.2019
Ag 0.1620 0.3346 0.4109
Cd 0.5815 0.3146 0.6153

formation energy from the elements: -0.08 eV/f.u.
polymorph energy (0 for the lowest one): 0.0 meV/atom
Fermi-level density of states: 3.5 states/eV per cell



[8]
Compound: NaLiSbI2
Source: the Alexandria database
Functional: GGA-PBE
Structure: optimized geometry

Cell: 5.7006 5.7006 5.1286 Å, 90.00 90.00 90.00°
Fractional positions:
I 0.0000 0.5000 0.0000
Na 0.5000 0.5000 0.5000
Sb 0.0000 0.0000 0.5000
I 0.5000 0.0000 0.0000
Li 0.0000 0.0000 0.0000

polymorph energy (0 for the lowest one): 0.0 meV/atom
Fermi-level density of states: 2.6 states/eV per cell
E_form (uncorrected): -0.309 eV per atom



[9]
Compound: Hf2TcHIr
Source: the Alexandria database
Functional: GGA-PBE
Structure: optimized geometry

Cell: 4.5256 4.5256 3.5370 Å, 90.00 90.00 90.00°
Fractional positions:
Tc 0.0000 0.0000 0.5000
Ir 0.5000 0.5000 0.5000
Hf 0.0000 0.5000 0.0000
Hf 0.5000 0.0000 0.0000
H 0.0000 0.0000 0.0000

polymorph energy (0 for the lowest one): 0.0 meV/atom
Fermi-level density of states: 2.0 states/eV per cell



[10]
Compound: SiMo3Pd
Source: the Alexandria database
Functional: GGA-PBE
Structure: optimized geometry

Cell: 4.7042 4.7042 4.7042 Å, 90.00 90.00 90.00°
Fractional positions:
Si 0.5000 0.5000 0.5000
Pd 0.0000 0.0000 0.0000
Mo 0.0000 0.5000 0.0000
Mo 0.0000 0.0000 0.5000
Mo 0.5000 0.0000 0.0000

polymorph energy (0 for the lowest one): 1021.8 meV/atom
Fermi-level density of states: 6.3 states/eV per cell
E_form (uncorrected): 2.040 eV per atom



[11]
Compound: RbBi2Au3
Source: the Alexandria database
Functional: GGA-PBE
Structure: optimized geometry

Cell: 4.7238 11.4697 7.3597 Å, 110.37 90.00 101.88°
Fractional positions:
Au 0.0563 0.1125 0.4416
Bi 0.8011 0.6022 0.2728
Au 0.6117 0.2234 0.6478
Bi 0.1989 0.3978 0.7272
Au 0.2792 0.5584 0.4711
Au 0.9437 0.8875 0.5584
Au 0.3883 0.7766 0.3522
Bi 0.5030 0.0061 0.7652
Bi 0.4970 0.9939 0.2348
Rb 0.8712 0.7424 0.8946
Rb 0.1288 0.2576 0.1054
Au 0.7208 0.4416 0.5289

formation energy from the elements: -1.02 eV/f.u.
polymorph energy (0 for the lowest one): 12.6 meV/atom
Fermi-level density of states: 4.4 states/eV per cell



[12]
Compound: Ac4PbSe5
Source: the Alexandria database
Functional: GGA-PBE
Structure: optimized geometry

Cell: 4.5007 4.5007 18.1543 Å, 82.88 82.88 60.00°
Fractional positions:
Se 0.0000 0.0000 0.0000
Se 0.1993 0.1993 0.4021
Se 0.4002 0.4002 0.7993
Pb 0.5000 0.5000 0.5000
Ac 0.7005 0.7005 0.8985
Se 0.5998 0.5998 0.2007
Ac 0.2995 0.2995 0.1015
Ac 0.0991 0.0991 0.7027
Ac 0.9009 0.9009 0.2973
Se 0.8007 0.8007 0.5979

Fermi-level density of states: 3.1 states/eV per cell
E_form (uncorrected): -1.588 eV per atom



[13]
Compound: NpAg2Cl6
Source: the Alexandria database
Functional: GGA-PBE
Structure: optimized geometry

Cell: 6.9211 6.9211 7.4385 Å, 62.28 62.28 60.00°
Each line ends with the local moment (μB).
Fractional positions:
Ag 0.8095 0.8095 0.5715  -0.01
Cl 0.0885 0.3853 0.7503  -0.03
Cl 0.6147 0.2241 0.2497  -0.03
Cl 0.3853 0.7759 0.7503  -0.03
Cl 0.9115 0.6147 0.2497  -0.03
Ag 0.1905 0.1905 0.4285  -0.01
Np 0.0000 0.0000 0.0000  3.16
Cl 0.7759 0.0885 0.7503  -0.03
Cl 0.2241 0.9115 0.2497  -0.03

polymorph energy (0 for the lowest one): 4.1 meV/atom
Fermi-level density of states: 6.2 states/eV per cell
E_form (uncorrected): -1.101 eV per atom



[14]
Compound: LaZnPt4
Source: the Alexandria database
Functional: GGA-PBE
Structure: optimized geometry

Cell: 4.0101 6.8536 8.2269 Å, 90.00 104.11 90.00°
Fractional positions:
La 0.8943 0.7500 0.7886
Pt 0.5000 0.5000 0.0000
Zn 0.2351 0.7500 0.4701
Pt 0.9246 0.2500 0.8493
Pt 0.6756 0.9504 0.3511
Pt 0.0754 0.7500 0.1507
Pt 0.3244 0.0496 0.6489
Pt 0.5000 0.0000 0.0000
Zn 0.7649 0.2500 0.5299
Pt 0.3244 0.4504 0.6489
Pt 0.6756 0.5496 0.3511
La 0.1057 0.2500 0.2114

formation energy from the elements: -4.33 eV/f.u.
Fermi-level density of states: 4.7 states/eV per cell



[15]
Compound: AcHo2Pd
Source: the Alexandria database
Functional: GGA-PBE
Structure: optimized geometry

Cell: 3.8972 5.3669 5.3669 Å, 90.00 90.00 90.00°
Fractional positions:
Ho 0.0000 0.0000 0.5000
Ac 0.5000 0.5000 0.5000
Pd 0.5000 0.0000 0.0000
Ho 0.0000 0.5000 0.0000

formation energy from the elements: -0.08 eV/f.u.
polymorph energy (0 for the lowest one): 414.3 meV/atom
Fermi-level density of states: 5.3 states/eV per cell



[16]
Compound: Na2AgRhBr6
Source: the Alexandria database
Functional: GGA-PBE
Structure: optimized geometry

Cell: 7.1885 7.1886 7.3809 Å, 60.84 60.84 59.98°
Fractional positions:
Br 0.6769 0.1092 0.7754
Na 0.5325 0.5323 0.4029
Br 0.5590 0.2018 0.2567
Br 0.2018 0.9824 0.2568
Br 0.9824 0.5591 0.2567
Br 0.1093 0.4385 0.7753
Rh 0.3265 0.3265 0.0204
Br 0.4384 0.6769 0.7751
Na 0.0180 0.0180 0.9465
Ag 0.8168 0.8169 0.5493

E_form (uncorrected): -0.809 eV per atom



[17]
Compound: KAc2USe6
Source: the Alexandria database
Functional: GGA-PBE
Structure: optimized geometry

Cell: 7.7529 7.7531 8.1370 Å, 61.55 61.55 60.00°
Each line ends with the local moment (μB).
Fractional positions:
Ac 0.0098 0.0098 0.9706  -0.01
Se 0.1530 0.3866 0.7615  -0.04
Se 0.3865 0.6989 0.7615  -0.04
U 0.3260 0.3260 0.0221  1.31
Se 0.2237 0.9638 0.2413  -0.03
Se 0.5711 0.2237 0.2414  -0.03
Ac 0.5269 0.5269 0.4193  -0.01
Se 0.9638 0.5711 0.2413  -0.03
Se 0.6989 0.1530 0.7615  -0.04
K 0.8018 0.8018 0.5946  0.00

Fermi-level density of states: 0.1 states/eV per cell
E_form (uncorrected): -1.560 eV per atom



[18]
Compound: KPuAg4
Source: the Alexandria database
Functional: GGA-PBE
Structure: optimized geometry

Cell: 5.8366 5.8366 5.8366 Å, 60.00 60.00 60.00°
Each line ends with the local moment (μB).
Fractional positions:
Ag 0.6249 0.1254 0.6249  0.07
Pu 0.2500 0.2500 0.2500  5.79
Ag 0.1254 0.6249 0.6249  0.07
Ag 0.6249 0.6249 0.6249  0.07
K 0.0000 0.0000 0.0000  0.04
Ag 0.6249 0.6249 0.1254  0.07

formation energy from the elements: 0.95 eV/f.u.
Fermi-level density of states: 18.2 states/eV per cell



[19]
Compound: CeY2Tm12
Source: the Alexandria database
Functional: GGA-PBE
Structure: optimized geometry

Cell: 6.4638 6.4631 24.9403 Å, 101.73 91.30 115.23°
Each line ends with the local moment (μB).
Fractional positions:
Tm 0.2052 0.9048 0.4026  -0.01
Tm 0.7051 0.4047 0.4026  -0.01
Y 0.6107 0.9743 0.7255  0.01
Tm 0.7670 0.5396 0.5413  -0.02
Tm 0.0338 0.0658 0.0661  -0.04
Tm 0.3492 0.4432 0.1922  0.03
Tm 0.3197 0.8850 0.1340  0.00
Tm 0.0815 0.9164 0.6676  0.00
Tm 0.2329 0.4604 0.4587  -0.02
Tm 0.6803 0.1151 0.8660  0.00
Tm 0.9184 0.0836 0.3324  0.00
Tm 0.5815 0.4164 0.6676  0.00
Tm 0.9662 0.9342 0.9339  -0.04
Y 0.1107 0.4742 0.7256  0.01
Tm 0.1803 0.6151 0.8660  0.00
Tm 0.8491 0.9431 0.1923  0.03
Ce 0.0001 0.5000 0.0001  -0.55
Tm 0.2947 0.5953 0.5974  -0.01
Ce 0.5000 0.0000 0.0000  -0.55
Tm 0.8197 0.3850 0.1340  0.00
Tm 0.6509 0.5569 0.8078  0.03
Tm 0.4185 0.5836 0.3323  0.00
Tm 0.1509 0.0568 0.8078  0.03
Tm 0.2671 0.0395 0.5413  -0.02
Y 0.8893 0.5257 0.2744  0.01
Tm 0.4662 0.4342 0.9339  -0.04
Tm 0.5339 0.5659 0.0661  -0.04
Tm 0.7949 0.0954 0.5974  -0.01
Tm 0.7329 0.9604 0.4587  -0.02
Y 0.3892 0.0257 0.2744  0.01

formation energy from the elements: 0.91 eV/f.u.
Fermi-level density of states: 61.9 states/eV per cell



[20]
Compound: NpICl3
Source: the Alexandria database
Functional: GGA-PBE
Structure: optimized geometry

Cell: 6.8244 7.2233 8.2423 Å, 90.00 90.00 93.38°
Each line ends with the local moment (μB).
Fractional positions:
Cl 0.3062 0.1487 0.4986  -0.05
Cl 0.2553 0.7279 0.7500  -0.08
I 0.2224 0.6818 0.2500  -0.14
Cl 0.6938 0.8513 0.9986  -0.05
Cl 0.6938 0.8513 0.5014  -0.05
Cl 0.7447 0.2721 0.2500  -0.08
Np 0.4970 0.9994 0.7500  3.34
Cl 0.3062 0.1487 0.0014  -0.05
I 0.7776 0.3182 0.7500  -0.14
Np 0.5030 0.0006 0.2500  3.34

Fermi-level density of states: 20.1 states/eV per cell
E_form (uncorrected): -1.382 eV per atom